Entry from Alexandria: an optimized crystal structure of CePuTlCd (GGA-PBE).

a = 4.6046 Å, b = 4.6169 Å, c = 4.9263 Å
α = 90.00°, β = 90.00°, γ = 90.00°
Space group Pmmm (No. 47)
Inequivalent atoms, fractional coordinates:
Ce: 0.0000 0.0000 0.0000 x1
Pu: 0.5000 0.5000 0.0000 x1
Tl: 0.0000 0.5000 0.5000 x1
Cd: 0.5000 0.0000 0.5000 x1

formation energy from the elements	-0.1358	eV per atom
offset from the most stable computed form	0.00	eV/f.u.
E_tot	-6.02	eV/atom